[1]
First-principles (SCAN) data for a PBEsol-optimized structure of KMnTc2, as listed in Alexandria.

Output
The energy above the most stable polymorph in this dataset comes out at 0.077 eV per atom. The energy relative to the elements comes out at 811 meV per atom. Its total energy is -93.5 eV for the cell shown.

The structure in CIF format:
```
data_KMnTc2
_cell_length_a 2.636
_cell_length_b 2.636
_cell_length_c 9.458
_cell_angle_alpha 90.00
_cell_angle_beta 90.00
_cell_angle_gamma 90.00
_symmetry_space_group_name_H-M 'P 4/m m m'
_symmetry_Int_Tables_number 123
_symmetry_space_group_name_Hall '-P 4 2'
loop_
_atom_site_label
_atom_site_type_symbol
_atom_site_fract_x
_atom_site_fract_y
_atom_site_fract_z
_atom_site_occupancy
K1 K 0.000 0.000 0.000 1
Mn1 Mn 0.000 0.000 0.500 1
Tc1 Tc 0.500 0.500 0.319 1
```

[2]
First-principles (SCAN) data for a PBEsol-optimized structure of KTi3Mn, as listed in Alexandria.

Output
The energy relative to the elements comes out at 718 meV per atom. Its total energy is -71.1 eV for the cell shown.

The structure in CIF format:
```
data_KTi3Mn
_cell_length_a 4.660
_cell_length_b 4.660
_cell_length_c 4.660
_cell_angle_alpha 90.00
_cell_angle_beta 90.00
_cell_angle_gamma 90.00
_symmetry_space_group_name_H-M 'P m -3 m'
_symmetry_Int_Tables_number 221
_symmetry_space_group_name_Hall '-P 4 2 3'
loop_
_atom_site_label
_atom_site_type_symbol
_atom_site_fract_x
_atom_site_fract_y
_atom_site_fract_z
_atom_site_occupancy
K1 K 0.000 0.000 0.000 1
Ti1 Ti 0.000 0.500 0.500 1
Mn1 Mn 0.500 0.500 0.500 1
```

[3]
First-principles (SCAN) data for a PBEsol-optimized structure of K4MnTl, as listed in Alexandria.

Output
The energy relative to the elements comes out at 501 meV per atom. Its total energy is -483.7 eV for the cell shown.

The structure in CIF format:
```
data_K4MnTl
_cell_length_a 10.068
_cell_length_b 10.068
_cell_length_c 10.068
_cell_angle_alpha 90.00
_cell_angle_beta 90.00
_cell_angle_gamma 90.00
_symmetry_space_group_name_H-M 'F -4 3 m'
_symmetry_Int_Tables_number 216
_symmetry_space_group_name_Hall 'F -4 2 3'
loop_
_atom_site_label
_atom_site_type_symbol
_atom_site_fract_x
_atom_site_fract_y
_atom_site_fract_z
_atom_site_occupancy
K1 K 0.125 0.125 0.125 1
Mn1 Mn 0.250 0.250 0.750 1
Tl1 Tl 0.000 0.000 0.500 1
```

Values of density of states at the Fermi level, in order: 3.915; 2.455; 20.389, all in states/eV per cell.